(1)
Entry from the Alexandria database: YHoCd after structural relaxation (PBE-GGA).

Final energy, eV for the cell shown: -12.566
V, A^3/atom: 28.3

Lattice parameters (Å, degrees): 6.990 6.990 6.990 150.06 150.06 42.85
Fractional positions:
1 Y 0.000 0.000 0.000
2 Ho 0.311 0.311 0.000
3 Cd 0.657 0.657 0.000



(2)
Entry from the Alexandria database: TiV2H4 after structural relaxation (PBE-GGA).

Final energy, eV for the cell shown: -39.074
V, A^3/atom: 7.8

Lattice parameters (Å, degrees): 5.596 5.596 5.596 145.91 145.91 48.98
Fractional positions:
1 Ti 0.000 0.000 0.000
2 V 0.340 0.340 0.000
3 V 0.660 0.660 0.000
4 H 0.000 0.500 0.500
5 H 0.174 0.174 0.000
6 H 0.500 0.000 0.500
7 H 0.826 0.826 0.000



(3)
Entry from the Alexandria database: Si2TcSb after structural relaxation (PBE-GGA).

Final energy, eV for the cell shown: -25.237
V, A^3/atom: 17.1
Formation energy without anion corrections, eV/atom: 0.024

Lattice parameters (Å, degrees): 3.073 3.073 7.234 90.00 90.00 90.00
Fractional positions:
1 Si 0.000 0.000 0.185
2 Si 0.000 0.000 0.815
3 Tc 0.500 0.500 0.000
4 Sb 0.500 0.500 0.500



(4)
Entry from the Alexandria database: ScFe2AuC after structural relaxation (PBE-GGA).

Final energy, eV for the cell shown: -36.560
V, A^3/atom: 13.2

Lattice parameters (Å, degrees): 3.846 3.846 4.458 90.00 90.00 90.00
Fractional positions:
1 Sc 0.000 0.000 0.000
2 Fe 0.000 0.500 0.500
3 Fe 0.500 0.000 0.500
4 Au 0.500 0.500 0.000
5 C 0.000 0.000 0.500



(5)
Entry from the Alexandria database: BeAlAs2 after structural relaxation (PBE-GGA).

Final energy, eV for the cell shown: -16.486
V, A^3/atom: 19.8

Lattice parameters (Å, degrees): 3.377 3.377 6.952 90.00 90.00 90.00
Fractional positions:
1 Be 0.000 0.000 0.000
2 Al 0.500 0.500 0.210
3 As 0.000 0.000 0.346
4 As 0.500 0.500 0.854